First-principles (PBE-GGA) data for Ce4Pm11Tm9 after structural relaxation, as listed in Alexandria via LeMat-Bulk.

Lattice parameters (Å, degrees): 3.650 15.139 15.139 112.42 90.00 90.00
Each line ends with the local moment (μB).
Sites, in units of the cell vectors:
Tm1 0.500 0.635 0.162  -0.02
Tm2 0.500 0.931 0.787  0.02
Pm1 0.000 0.050 0.409  0.03
Pm2 0.000 0.292 0.292  0.06
Tm3 0.500 0.069 0.213  0.02
Tm4 0.500 0.787 0.931  0.02
Pm3 0.000 0.591 0.950  0.03
Pm4 0.000 0.365 0.635  0.07
Pm5 0.000 0.000 0.000  -0.01
Pm6 0.000 0.409 0.050  0.03
Pm7 0.000 0.635 0.365  0.07
Tm5 0.500 0.500 0.500  0.03
Tm6 0.500 0.162 0.635  -0.02
Pm8 0.000 0.708 0.708  0.06
Tm7 0.500 0.838 0.365  -0.02
Ce1 0.500 0.448 0.248  0.71
Tm8 0.500 0.365 0.838  -0.02
Ce2 0.500 0.552 0.752  0.71
Tm9 0.500 0.213 0.069  0.02
Ce3 0.500 0.248 0.448  0.71
Ce4 0.500 0.752 0.552  0.71
Pm9 0.000 0.157 0.843  -0.01
Pm10 0.000 0.843 0.157  -0.01
Pm11 0.000 0.950 0.591  0.03

Calculated values
electronic total energy	-4.747	eV/atom
ΔH_f (0 K)	2.3	eV/f.u.